PrHoCd6 PBE relaxed; uncorrected energy = -2.136 eV/atom
1.0
5.098 0.000 0.000
0.000 7.259 0.000
0.000 0.000 5.098
Pr Ho Cd
1 1 6
direct
0.000 0.000 0.000
0.500 0.500 0.493
0.000 0.259 0.501
0.000 0.500 0.001
0.000 0.741 0.501
0.500 0.000 0.495
0.500 0.259 0.993
0.500 0.741 0.993